[1]
Below is an optimized crystal structure of Zn2Te, with properties calculated at the GGA-PBEsol level.

Summary:
- Raw formation energy: 0.0313 eV/atom
- Space-group type: I4/mcm
- Total energy: -2.20 eV/atom
- Crystal system: tetragonal
- Excess energy over the best structure of this formula in the dataset: 34 meV per atom

a = 5.5506 Å, b = 5.6150 Å, c = 5.5506 Å
α = 119.62°, β = 90.00°, γ = 119.62°
With the nearest neighbours (Å) after each atom.
Atoms (fractional coordinates):
Zn 0.3385 0.0000 0.8385  1 Zn 2.54
Zn 0.6615 0.0000 0.1615  1 Zn 2.54
Zn 0.1615 0.0000 0.3385  1 Zn 2.54
Zn 0.8385 0.0000 0.6615  1 Zn 2.54
Te 0.7500 0.5000 0.7500  8 Zn 2.89
Te 0.2500 0.5000 0.2500  8 Zn 2.89

=====

[2]
Below is an optimized crystal structure of Ti2CuRe, with properties calculated at the GGA-PBEsol level.

Summary:
- Space-group type: Fm-3m
- Total energy: -8.84 eV/atom
- Crystal system: cubic

a = 4.3282 Å, b = 4.3282 Å, c = 4.3282 Å
α = 60.00°, β = 60.00°, γ = 60.00°
With the nearest neighbours (Å) after each atom.
Atoms (fractional coordinates):
Cu 0.5000 0.5000 0.5000  8 Ti 2.65
Ti 0.7500 0.7500 0.7500  4 Re 2.65, 4 Cu 2.65
Ti 0.2500 0.2500 0.2500  4 Re 2.65, 4 Cu 2.65
Re 0.0000 0.0000 0.0000  8 Ti 2.65

=====

> Among the records above, which one has the lowest total energy?

Ti2CuRe